{
  "formula": "VCuHgF6",
  "functional": "PBE with a Hubbard U",
  "state": "relaxed",
  "lattice_angstrom": [[-1.0312, -0.9345, -5.5130], [5.1749, -0.9992, 2.1335], [-2.4613, -8.6376, 1.9246]],
  "species": ["F", "F", "Cu", "F", "F", "F", "F", "V", "Hg", "V", "Cu", "F", "F", "F", "F", "Hg", "F", "F"],
  "fractional_positions": [[0.8185, 0.1820, 0.1191], [0.1820, 0.8185, 0.6191], [0.0000, 0.0000, 0.0000], [0.6365, 0.8180, 0.6191], [0.8180, 0.6365, 0.1191], [0.6365, 0.8185, 0.8809], [0.3635, 0.1815, 0.1191], [0.6667, 0.3333, 0.2500], [0.6667, 0.3333, 0.7500], [0.3333, 0.6667, 0.7500], [0.0000, 0.0000, 0.5000], [0.1815, 0.8180, 0.8809], [0.8185, 0.6365, 0.3809], [0.1820, 0.3635, 0.8809], [0.8180, 0.1815, 0.3809], [0.3333, 0.6667, 0.2500], [0.3635, 0.1820, 0.3809], [0.1815, 0.3635, 0.6191]],
  "space_group": "No. 194",
  "total_magnetization_mub_per_cell": 3.37,
  "energy_ev_per_atom": -4.383
}